VASP calculation (PBE-GGA) on a geometry-optimized K4NaNb5O15 structure.

Calculated values
* DFT total energy: -7.65 eV per atom
* calculated volume: 13.579 Å³ per atom
* theoretical density: 4.32 g cm⁻³
* formation energy without anion corrections: -2437 meV per atom

Geometry as extended XYZ:
```
50
Lattice="4.007 0.000 0.000 0.000 5.805 -0.025 0.000 -0.508 29.194" Properties=species:S:1:pos:R:3 pbc="T T T"
O 0.000 2.848 2.843
O 2.003 4.085 18.952
Nb 2.003 5.495 17.704
O 0.000 2.687 8.633
O 0.000 5.694 5.779
O 2.003 4.319 1.377
O 2.003 1.201 16.034
O 2.003 1.252 7.258
Na 0.000 2.529 6.150
O 2.003 3.992 27.699
O 0.000 2.593 20.409
O 2.003 1.128 27.813
O 2.003 1.420 1.485
O 0.000 2.512 26.282
O 2.003 1.132 18.973
Na 0.000 2.705 0.353
O 2.003 4.120 13.083
O 2.003 4.318 4.296
Nb 2.003 5.756 0.185
O 0.000 0.079 0.014
Nb 2.003 2.571 20.650
K 0.000 -0.322 20.577
K 0.000 -0.404 26.428
O 2.003 1.170 21.905
O 2.003 4.024 24.800
Nb 2.003 -0.371 23.593
Nb 2.003 2.795 3.119
K 0.000 5.720 3.011
Nb 2.003 2.473 26.524
O 2.003 4.022 21.888
Nb 2.003 2.609 14.783
O 0.000 5.553 11.591
K 0.000 5.518 14.685
O 2.003 1.070 24.861
Nb 2.003 5.582 5.983
O 2.003 1.166 13.103
Nb 2.003 5.528 11.836
O 2.003 4.152 7.191
K 0.000 2.600 17.631
O 0.000 -0.290 17.487
K 0.000 5.559 8.823
O 0.000 -0.332 23.356
O 2.003 4.052 16.022
O 2.003 1.257 10.171
O 2.003 1.457 4.415
Nb 2.003 2.647 8.908
K 0.000 2.636 11.766
K 0.000 2.541 23.501
O 2.003 4.106 10.143
O 0.000 2.628 14.539
```

---

VASP calculation (PBE-GGA) on a geometry-optimized Sc12CdFe6 structure.

Calculated values
* DFT total energy: -6.82 eV per atom
* calculated volume: 19.233 Å³ per atom
* theoretical density: 4.48 g cm⁻³
* formation energy: -0.10 eV/atom

Geometry as extended XYZ:
```
19
Lattice="-5.105 -3.416 4.809 7.063 -3.143 1.047 0.302 7.643 1.532" Properties=species:S:1:pos:R:3 pbc="T T T"
Sc 4.248 3.998 3.058
Fe -1.654 -0.392 5.407
Fe 3.792 -1.560 3.913
Sc 1.236 2.158 2.003
Sc -1.036 -0.035 3.020
Cd 0.000 0.000 0.000
Sc 0.239 2.142 5.152
Fe 3.913 1.476 1.980
Fe 1.848 3.865 3.711
Sc -3.000 1.694 5.613
Sc 2.821 -3.739 4.630
Sc 5.260 -0.609 1.774
Sc 2.020 -1.057 2.235
Sc 3.296 1.119 4.367
Sc 1.023 -1.073 5.384
Fe -1.533 2.645 3.474
Sc -1.988 -2.913 4.330
Fe 0.412 -2.781 3.676
Sc -0.561 4.824 2.758
```

---

VASP calculation (PBE-GGA) on a geometry-optimized LaNdNi2 structure.

Calculated values
* DFT total energy: -5.64 eV per atom
* calculated volume: 22.452 Å³ per atom
* energy relative to the lowest polymorph listed for this composition: 0 kJ/mol of formula units
* theoretical density: 7.41 g cm⁻³
* formation energy: -0.33 eV/atom

Geometry as extended XYZ:
```
4
Lattice="-2.245 -2.125 2.293 -2.385 -1.202 -3.450 4.327 -3.153 -1.894" Properties=species:S:1:pos:R:3 pbc="T T T"
Ni 2.138 -3.613 -2.979
Nd 2.611 -4.607 -0.201
Ni 2.393 -1.780 -1.035
La -0.322 -2.917 -1.521
```

---

VASP calculation (PBE-GGA) on a geometry-optimized AcNd3Dy2Te6 structure.

Calculated values
* DFT total energy: -5.25 eV per atom
* calculated volume: 32.039 Å³ per atom
* theoretical density: 7.56 g cm⁻³
* formation energy without anion corrections: -1379 meV per atom

Geometry as extended XYZ:
```
12
Lattice="-0.459 -6.409 4.384 0.365 -0.579 -7.748 7.369 2.065 1.492" Properties=species:S:1:pos:R:3 pbc="T T T"
Te 1.675 -4.588 -2.091
Dy 0.091 -2.514 -3.721
Ac 0.000 0.000 0.000
Te 1.684 -2.319 1.637
Te 5.599 -0.335 0.219
Te 1.974 -0.267 -2.632
Te 5.301 -4.656 0.759
Nd 3.637 -2.462 -0.936
Nd 3.351 -4.489 3.284
Te 5.591 -2.605 -3.509
Nd 3.924 -0.434 -5.156
Dy -0.185 -4.474 0.357
```

---

VASP calculation (PBE-GGA) on a geometry-optimized TiCoHgSe2 structure.

Calculated values
* DFT total energy: -4.16 eV per atom
* calculated volume: 23.518 Å³ per atom
* theoretical density: 6.57 g cm⁻³
* formation energy without anion corrections: 295 meV per atom

Geometry as extended XYZ:
```
5
Lattice="4.892 0.000 0.000 0.000 4.913 0.000 0.000 0.000 4.892" Properties=species:S:1:pos:R:3 pbc="T T T"
Se 2.446 0.000 0.000
Ti 0.000 0.000 0.000
Co 0.000 2.456 0.000
Se 0.000 0.000 2.446
Hg 2.446 2.456 2.446
```

---

VASP calculation (PBE-GGA) on a geometry-optimized Tl3Bi3Au structure.

Calculated values
* DFT total energy: -3.16 eV per atom
* calculated volume: 31.435 Å³ per atom
* theoretical density: 10.84 g cm⁻³
* formation energy: -0.01 eV/atom

Geometry as extended XYZ:
```
14
Lattice="-2.300 4.432 0.686 0.039 1.952 6.036 12.849 9.101 2.791" Properties=species:S:1:pos:R:3 pbc="T T T"
Bi 4.796 10.074 6.533
Bi 5.793 5.410 2.980
Bi -1.700 4.462 2.500
Tl 10.223 10.446 3.806
Tl 6.852 8.728 3.611
Tl 7.861 11.730 6.105
Tl 2.728 3.754 3.408
Tl 0.367 5.038 5.707
Bi 9.697 9.529 7.973
Au 7.271 8.480 6.617
Tl 3.737 6.757 5.903
Au 3.318 7.004 2.896
Bi 12.289 11.022 7.013
Bi 0.892 5.955 1.541
```